DFT (PBE) results for crystalline Na2TmAlS4 at its relaxed geometry.

The structure in POSCAR format:
```
Na2TmAlS4
1.0
-3.745 3.940 5.461
3.745 -3.940 5.461
3.745 3.940 -5.461
Na Tm Al S
4 2 2 8
Direct
0.000 0.000 0.000 Na
0.500 0.000 0.000 Na
0.500 0.000 0.500 Na
0.500 0.500 0.500 Na
0.000 0.500 0.500 Tm
0.500 0.500 0.000 Tm
0.000 0.000 0.500 Al
0.000 0.500 0.000 Al
0.209 0.747 0.462 S
0.215 0.253 0.962 S
0.233 0.240 0.507 S
0.233 0.725 0.993 S
0.767 0.275 0.007 S
0.767 0.760 0.493 S
0.785 0.747 0.038 S
0.791 0.253 0.538 S
```

Properties
Space group: Imma, No. 74
E in eV per atom: -4.8646
Formation energy without anion corrections in eV per atom: -1.444